Entry 1:
# Pr2PuAu, optimized geometry, DFT PBE
# magnetic moment = 6.4 μB/f.u.
# offset from the most stable computed form = 0.000 kcal/mol of atoms
# energy = -7.0327 eV/atom
# energy of formation from the pure elements = -0.2406 eV/atom
data_Pr2PuAu
_symmetry_space_group_name_H-M 'P 4/m m m'
_symmetry_Int_Tables_number 123
_symmetry_space_group_name_Hall '-P 4 2'
_cell_length_a 3.688
_cell_length_b 3.688
_cell_length_c 8.538
_cell_angle_alpha 90.00
_cell_angle_beta 90.00
_cell_angle_gamma 90.00
loop_
_atom_site_label
_atom_site_type_symbol
_atom_site_fract_x
_atom_site_fract_y
_atom_site_fract_z
Pr1 Pr 0.000 0.000 0.220
Pu1 Pu 0.500 0.500 0.500
Au1 Au 0.500 0.500 0.000

***

Entry 2:
# Pm3TmCo8, optimized geometry, DFT PBE
# magnetic moment = 7.5 μB/f.u.
# energy = -6.4104 eV/atom
# energy of formation from the pure elements = -0.1129 eV/atom
data_Pm3TmCo8
_symmetry_space_group_name_H-M 'R 3 m'
_symmetry_Int_Tables_number 160
_symmetry_space_group_name_Hall 'R 3 -2"'
_cell_length_a 5.1179
_cell_length_b 5.1179
_cell_length_c 25.1118
_cell_angle_alpha 90.00
_cell_angle_beta 90.00
_cell_angle_gamma 120.00
loop_
_atom_site_label
_atom_site_type_symbol
_atom_site_fract_x
_atom_site_fract_y
_atom_site_fract_z
Pm1 Pm 0.0000 0.0000 0.0000
Pm2 Pm 0.0000 0.0000 0.1252
Pm3 Pm 0.0000 0.0000 0.5002
Tm1 Tm 0.0000 0.0000 0.6248
Co1 Co 0.0000 0.0000 0.3120
Co2 Co 0.0000 0.0000 0.8127
Co3 Co 0.0023 0.5012 0.5641
Co4 Co 0.1687 0.3373 0.3943